An optimized crystal structure of PuSnBiAu, computed with PBE-GGA.

The structure in POSCAR format:
```
PuSnBiAu
1.0
0.000 3.747 3.747
3.747 0.000 3.747
3.747 3.747 0.000
Pu Sn Bi Au
1 1 1 1
direct
0.000 0.000 0.000
0.250 0.250 0.250
0.500 0.500 0.500
0.750 0.750 0.750
```

Results
**Crystal system**: cubic
**Theoretical density**: 12.13 g/cm3
**Raw total energy**: -26.2 eV per cell
**Space group**: F-43m (216)


An optimized crystal structure of Mg2FePt, computed with PBE-GGA.

The structure in POSCAR format:
```
Mg2FePt
1.0
2.938 0.000 0.000
0.000 2.938 0.000
0.000 0.000 7.805
Mg Fe Pt
2 1 1
direct
0.000 0.000 0.000
0.500 0.500 0.327
0.500 0.500 0.767
0.000 0.000 0.557
```

Results
**Crystal system**: tetragonal
**Theoretical density**: 7.38 g/cm3
**Raw total energy**: -18.5 eV per cell
**Space group**: P4mm (99)


Q: Which value of theoretical density does entry 1 give?
A: 12.13 g/cm3